Record 1
Below is a geometry-optimized Na2UAgSe4 structure, with properties calculated at the PBE-GGA level.

a b c (Å): 6.8088 4.1859 7.4032
angles (deg): 90.00 108.25 90.00
Positions (direct):
Na1 0.0000 0.0000 0.0000
Na2 0.5000 0.5000 0.0000
U1 0.0000 0.5000 0.5000
Ag1 0.5000 0.0000 0.5000
Se1 0.2346 0.0000 0.7264
Se2 0.2415 0.5000 0.2714
Se3 0.7585 0.5000 0.7286
Se4 0.7654 0.0000 0.2736

Summary:
The uncorrected formation energy is -0.92 eV/atom.



Record 2
Below is a geometry-optimized NaU2AgSe5 structure, with properties calculated at the PBE-GGA level.

a b c (Å): 9.4780 9.4780 9.4780
angles (deg): 131.37 131.37 71.23
Positions (direct):
Na1 0.2500 0.2500 0.0000
Na2 0.7500 0.7500 0.0000
U1 0.1554 0.6554 0.8108
U2 0.3446 0.1554 0.5000
U3 0.6554 0.8446 0.5000
U4 0.8446 0.3446 0.1892
Ag1 0.2500 0.7500 0.5000
Ag2 0.7500 0.2500 0.5000
Se1 0.0000 0.0000 0.0000
Se2 0.0328 0.2277 0.5000
Se3 0.2277 0.7277 0.1949
Se4 0.2723 0.4672 0.5000
Se5 0.4672 0.9672 0.1949
Se6 0.5000 0.5000 0.0000
Se7 0.5328 0.0328 0.8051
Se8 0.7277 0.5328 0.5000
Se9 0.7723 0.2723 0.8051
Se10 0.9672 0.7723 0.5000

Summary:
The uncorrected formation energy is -0.92 eV/atom.



Record 3
Below is a geometry-optimized Na3UAg2Se6 structure, with properties calculated at the PBE-GGA level.

a b c (Å): 7.0604 7.0604 7.3848
angles (deg): 98.23 98.23 123.45
Positions (direct):
Na1 0.0000 0.0000 0.0000
Na2 0.3209 0.6791 0.0000
Na3 0.6791 0.3209 0.0000
U1 0.5000 0.5000 0.5000
Ag1 0.1473 0.8527 0.5000
Ag2 0.8527 0.1473 0.5000
Se1 0.0971 0.4126 0.2819
Se2 0.2753 0.2753 0.7479
Se3 0.4126 0.0971 0.2819
Se4 0.5874 0.9029 0.7181
Se5 0.7247 0.7247 0.2521
Se6 0.9029 0.5874 0.7181

Summary:
The uncorrected formation energy is -0.77 eV/atom.



Record 4
Below is a geometry-optimized Na2UAg2Se4 structure, with properties calculated at the PBE-GGA level.

a b c (Å): 7.9570 7.9570 7.7450
angles (deg): 115.12 115.12 30.46
Positions (direct):
Na1 0.1414 0.1414 0.0610
Na2 0.8586 0.8586 0.9390
U1 0.0000 0.0000 0.5000
Ag1 0.3211 0.3211 0.5246
Ag2 0.6789 0.6789 0.4754
Se1 0.2067 0.2067 0.7223
Se2 0.4931 0.4931 0.2387
Se3 0.5069 0.5069 0.7613
Se4 0.7933 0.7933 0.2777

Summary:
The uncorrected formation energy is -0.83 eV/atom.



Record 5
Below is a geometry-optimized Na2Ag3WSe6 structure, with properties calculated at the PBE-GGA level.

a b c (Å): 7.6333 7.6333 6.8680
angles (deg): 98.67 98.67 130.12
Positions (direct):
Na1 0.1937 0.8063 0.0000
Na2 0.8063 0.1937 0.0000
Ag1 0.0000 0.0000 0.5000
Ag2 0.3292 0.6708 0.5000
Ag3 0.6708 0.3292 0.5000
W1 0.5000 0.5000 0.0000
Se1 0.1493 0.4207 0.7389
Se2 0.2027 0.2027 0.1462
Se3 0.4207 0.1493 0.7389
Se4 0.5793 0.8507 0.2611
Se5 0.7973 0.7973 0.8538
Se6 0.8507 0.5793 0.2611

Summary:
The uncorrected formation energy is -0.27 eV/atom.



Record 6
Below is a geometry-optimized NaAgWSe4 structure, with properties calculated at the PBE-GGA level.

a b c (Å): 7.4017 7.4017 8.0824
angles (deg): 90.00 90.00 111.93
Positions (direct):
Na1 0.0000 0.0000 0.0000
Na2 0.0000 0.0000 0.5000
Ag1 0.3877 0.6123 0.7500
Ag2 0.6123 0.3877 0.2500
W1 0.3642 0.6358 0.2500
W2 0.6358 0.3642 0.7500
Se1 0.2302 0.2896 0.2500
Se2 0.2539 0.7461 0.0156
Se3 0.2539 0.7461 0.4844
Se4 0.2896 0.2302 0.7500
Se5 0.7104 0.7698 0.2500
Se6 0.7461 0.2539 0.5156
Se7 0.7461 0.2539 0.9844
Se8 0.7698 0.7104 0.7500

Summary:
The uncorrected formation energy is -0.41 eV/atom.



Record 7
Below is a geometry-optimized Na2Y3AgSe6 structure, with properties calculated at the PBE-GGA level.

a b c (Å): 7.1793 7.1793 7.2704
angles (deg): 99.45 99.45 120.01
Positions (direct):
Na1 0.1668 0.8332 0.0000
Na2 0.8332 0.1668 0.0000
Y1 0.0000 0.0000 0.5000
Y2 0.3338 0.6662 0.5000
Y3 0.6662 0.3338 0.5000
Ag1 0.5000 0.5000 0.0000
Se1 0.0803 0.4114 0.7345
Se2 0.2573 0.2573 0.2649
Se3 0.4114 0.0803 0.7345
Se4 0.5886 0.9197 0.2655
Se5 0.7427 0.7427 0.7351
Se6 0.9197 0.5886 0.2655

Summary:
The uncorrected formation energy is -1.53 eV/atom.



Record 8
Below is a geometry-optimized NaY2AgSe4 structure, with properties calculated at the PBE-GGA level.

a b c (Å): 7.1784 4.1489 7.2161
angles (deg): 90.00 110.04 90.00
Positions (direct):
Na1 0.0000 0.0000 0.0000
Y1 0.0000 0.5000 0.5000
Y2 0.5000 0.0000 0.5000
Ag1 0.5000 0.5000 0.0000
Se1 0.2507 0.0000 0.7402
Se2 0.2537 0.5000 0.2649
Se3 0.7463 0.5000 0.7351
Se4 0.7493 0.0000 0.2598

Summary:
The uncorrected formation energy is -1.44 eV/atom.



Record 9
Below is a geometry-optimized Na2ZrAg2Se4 structure, with properties calculated at the PBE-GGA level.

a b c (Å): 7.9242 7.9242 7.6570
angles (deg): 115.06 115.06 29.49
Positions (direct):
Na1 0.1460 0.1460 0.0635
Na2 0.8540 0.8540 0.9365
Zr1 0.0000 0.0000 0.5000
Ag1 0.3235 0.3235 0.5369
Ag2 0.6765 0.6765 0.4631
Se1 0.1999 0.1999 0.7180
Se2 0.4909 0.4909 0.2433
Se3 0.5091 0.5091 0.7567
Se4 0.8001 0.8001 0.2820

Summary:
The uncorrected formation energy is -0.84 eV/atom.



Record 10
Below is a geometry-optimized Na4Zr3AgSe8 structure, with properties calculated at the PBE-GGA level.

a b c (Å): 8.3664 8.3664 8.3664
angles (deg): 56.50 56.50 56.50
Positions (direct):
Na1 0.0000 0.0000 0.0000
Na2 0.0000 0.5000 0.5000
Na3 0.5000 0.0000 0.5000
Na4 0.5000 0.5000 0.0000
Zr1 0.0000 0.0000 0.5000
Zr2 0.0000 0.5000 0.0000
Zr3 0.5000 0.0000 0.0000
Ag1 0.5000 0.5000 0.5000
Se1 0.2279 0.7473 0.7473
Se2 0.2414 0.2414 0.2414
Se3 0.2527 0.2527 0.7721
Se4 0.2527 0.7721 0.2527
Se5 0.7473 0.2279 0.7473
Se6 0.7473 0.7473 0.2279
Se7 0.7586 0.7586 0.7586
Se8 0.7721 0.2527 0.2527

Summary:
The uncorrected formation energy is -1.16 eV/atom.



Record 11
Below is a geometry-optimized Na2Zr2AgSe6 structure, with properties calculated at the PBE-GGA level.

a b c (Å): 6.8383 6.8383 7.4612
angles (deg): 97.93 97.93 121.52
Positions (direct):
Na1 0.1590 0.8410 0.0000
Na2 0.8410 0.1590 0.0000
Zr1 0.3318 0.6682 0.5000
Zr2 0.6682 0.3318 0.5000
Ag1 0.0000 0.0000 0.5000
Se1 0.0716 0.4253 0.7234
Se2 0.2700 0.2700 0.2865
Se3 0.4253 0.0716 0.7234
Se4 0.5747 0.9284 0.2766
Se5 0.7300 0.7300 0.7135
Se6 0.9284 0.5747 0.2766

Summary:
The uncorrected formation energy is -1.02 eV/atom.



Record 12
Below is a geometry-optimized Na2ZrAgSe4 structure, with properties calculated at the PBE-GGA level.

a b c (Å): 7.3523 3.9199 7.4228
angles (deg): 90.00 112.84 90.00
Positions (direct):
Na1 0.0000 0.0000 0.0000
Na2 0.5000 0.5000 0.0000
Zr1 0.0000 0.5000 0.5000
Ag1 0.5000 0.0000 0.5000
Se1 0.2121 0.0000 0.7430
Se2 0.2576 0.5000 0.3096
Se3 0.7424 0.5000 0.6904
Se4 0.7879 0.0000 0.2570

Summary:
The uncorrected formation energy is -0.92 eV/atom.